YMgB | PBE | optimized geometry

a = 7.5417 Å, b = 4.8898 Å, c = 6.2383 Å
α = 90.00°, β = 90.00°, γ = 90.00°
Last column: nearest neighbours and their distance in Å.
Fractional coordinates of all 12 atoms:
B (0.6631, 0.7500, 0.9814)  1 Mg 2.44, 4 Y 2.51-2.63
B (0.3369, 0.2500, 0.0186)  1 Mg 2.44, 4 Y 2.51-2.63
B (0.8369, 0.2500, 0.4814)  1 Mg 2.44, 4 Y 2.51-2.63
B (0.1631, 0.7500, 0.5186)  1 Mg 2.44, 4 Y 2.51-2.63
Y (0.1622, 0.2500, 0.3613)  4 B 2.51-2.63
Y (0.8378, 0.7500, 0.6387)  4 B 2.51-2.63
Y (0.6622, 0.2500, 0.1387)  4 B 2.51-2.63
Y (0.3378, 0.7500, 0.8613)  4 B 2.51-2.63
Mg (0.9480, 0.7500, 0.1655)  1 B 2.44
Mg (0.0520, 0.2500, 0.8345)  1 B 2.44
Mg (0.5520, 0.2500, 0.6655)  1 B 2.44
Mg (0.4480, 0.7500, 0.3345)  1 B 2.44

Output
Space-group type: Pnma (62)
Polymorph energy (0 for the lowest one): 364 meV/atom
VASP energy: -4.82 eV per atom
ΔH_f (0 K): 87 meV/atom